(1)
Compound: MnCoTcP2
Source: Alexandria via LeMat-Bulk
Functional: meta-GGA SCAN
Structure: PBEsol geometry

```
MnCoTcP2
1.0
-1.5071 3.3957 1.7648
-0.4830 -2.0503 3.5326
4.0172 1.1505 1.2170
P Mn Co Tc
2 1 1 1
Cartesian
-0.2415 -1.0252 1.7663
-0.7536 1.6978 0.8824
2.0086 0.5752 0.6085
0.0000 0.0000 0.0000
1.0135 1.2479 3.2572
```

Density of states at the Fermi level ... 0.66 states/eV per atom
Energy of formation from the pure elements ... 0.725 eV/atom



(2)
Compound: MnCo2Pb
Source: Alexandria via LeMat-Bulk
Functional: meta-GGA SCAN
Structure: PBEsol geometry

```
MnCo2Pb
1.0
3.7004 0.0000 0.0000
0.0000 3.7690 0.0000
-1.8502 -1.8845 3.9244
Co Mn Pb
2 1 1
Cartesian
1.8502 0.0000 1.9713
0.0000 0.0000 0.0055
0.0000 0.0000 3.9113
0.0000 1.8845 1.9607
```

Density of states at the Fermi level ... 0.40 states/eV per atom
Energy of formation from the pure elements ... 0.217 eV/atom



(3)
Compound: MnCo3Pb
Source: Alexandria via LeMat-Bulk
Functional: meta-GGA SCAN
Structure: PBEsol geometry

```
MnCo3Pb
1.0
4.1927 0.0000 0.0000
0.0000 4.1927 0.0000
0.0000 0.0000 4.1927
Co Pb Mn
3 1 1
Cartesian
2.0963 0.0000 0.0000
0.0000 0.0000 2.0963
0.0000 2.0963 0.0000
2.0963 2.0963 2.0963
0.0000 0.0000 0.0000
```

Density of states at the Fermi level ... 0.63 states/eV per atom
Energy of formation from the pure elements ... 1.210 eV/atom



(4)
Compound: MnCo2Pb
Source: Alexandria via LeMat-Bulk
Functional: meta-GGA SCAN
Structure: PBEsol geometry

```
MnCo2Pb
1.0
-0.6291 -1.6463 -2.3563
2.1165 -0.6781 -1.9285
2.1449 -7.2584 2.6613
Mn Co Pb
1 2 1
Cartesian
1.8161 -4.7914 -0.8118
0.9636 -2.6141 -0.2681
2.6687 -6.9687 -1.3554
0.0000 0.0000 0.0000
```

Density of states at the Fermi level ... 0.64 states/eV per atom
Energy of formation from the pure elements ... 0.616 eV/atom



(5)
Compound: MnCo2Pd
Source: Alexandria via LeMat-Bulk
Functional: meta-GGA SCAN
Structure: PBEsol geometry

```
MnCo2Pd
1.0
-1.3893 0.2491 3.8502
0.6370 -3.0948 2.6139
2.6385 0.4502 3.1067
Mn Pd Co
1 1 2
Cartesian
0.0000 0.0000 0.0000
0.9431 -1.1977 4.7854
1.4147 -1.7966 7.1781
0.4716 -0.5989 2.3927
```

Density of states at the Fermi level ... 0.75 states/eV per atom
Energy of formation from the pure elements ... -0.072 eV/atom



(6)
Compound: MnTlCoPd2
Source: Alexandria via LeMat-Bulk
Functional: meta-GGA SCAN
Structure: PBEsol geometry

```
MnTlCoPd2
1.0
-0.6528 -1.7878 4.1304
2.4935 -3.6182 -1.1720
3.9120 2.1888 1.5657
Mn Co Pd Tl
1 1 2 1
Cartesian
2.8763 -1.6086 2.2620
0.0000 0.0000 0.0000
1.2467 -1.8091 -0.5860
-0.3264 -0.8939 2.0652
1.9560 1.0944 0.7828
```

Density of states at the Fermi level ... 0.53 states/eV per atom
Energy of formation from the pure elements ... 0.651 eV/atom



(7)
Compound: ScMn2CoPt
Source: Alexandria via LeMat-Bulk
Functional: meta-GGA SCAN
Structure: PBEsol geometry

```
ScMn2CoPt
1.0
-0.8599 -4.1098 1.3181
4.3118 -0.7587 0.4473
-0.2002 1.4486 4.3863
Mn Pt Sc Co
2 1 1 1
Cartesian
-0.4299 -2.0549 0.6590
2.1559 -0.3793 0.2237
-0.1001 0.7243 2.1932
0.0000 0.0000 0.0000
1.6259 -1.7099 3.0759
```

Density of states at the Fermi level ... 0.49 states/eV per atom
Energy of formation from the pure elements ... 1.175 eV/atom



(8)
Compound: MnTlCo2Pt
Source: Alexandria via LeMat-Bulk
Functional: meta-GGA SCAN
Structure: PBEsol geometry

```
MnTlCo2Pt
1.0
4.0719 0.0000 0.0000
0.0000 4.0719 0.0000
0.0000 0.0000 4.8255
Co Pt Tl Mn
2 1 1 1
Cartesian
2.0359 0.0000 0.0000
0.0000 2.0359 0.0000
2.0359 2.0359 2.4127
0.0000 0.0000 2.4127
0.0000 0.0000 0.0000
```

Density of states at the Fermi level ... 0.76 states/eV per atom
Energy of formation from the pure elements ... 1.299 eV/atom



| no. | magnetic moment (μB/f.u.) | VASP energy (eV per atom) |
| --- | --- | --- |
| 1 | 2.8 | -17.56 |
| 2 | 7.0 | -31.94 |
| 3 | 4.2 | -27.98 |
| 4 | 6.9 | -31.55 |
| 5 | 7.6 | -21.48 |
| 6 | 7.4 | -34.04 |
| 7 | 8.8 | -26.47 |
| 8 | 5.8 | -37.78 |